1.
A geometry-optimized Cs2YOsO6 structure, computed with PBE-GGA. Values from VASP.

Uncorrected formation energy (eV/atom): -1.75
Density of states at the Fermi level (states/eV per atom): 0.579
Crystal system: trigonal
E (eV per atom): -6.6671

```
&SYSTEM
  ibrav = 0, nat = 10, ntyp = 4
/
ATOMIC_SPECIES
Cs 132.91 Cs.upf
O 16.00 O.upf
Y 88.91 Y.upf
Os 190.23 Os.upf
CELL_PARAMETERS angstrom
-1.3541 3.8458 4.0906
-5.4648 1.7270 -3.4327
-0.3064 -4.9124 4.5171
ATOMIC_POSITIONS crystal
Cs 0.1455 0.3333 0.6667
Cs 0.8545 0.6667 0.3333
O 0.7965 0.1314 0.2628
O 0.2035 0.8686 0.1314
O 0.2035 0.8686 0.7372
O 0.7965 0.7372 0.8686
O 0.7965 0.1314 0.8686
O 0.2035 0.2628 0.1314
Y 0.5000 0.0000 0.0000
Os 0.0000 0.0000 0.0000
```

2.
A geometry-optimized CsYOs2O8 structure, computed with PBE-GGA. Values from VASP.

Uncorrected formation energy (eV/atom): -1.56
Density of states at the Fermi level (states/eV per atom): 0.213
Crystal system: trigonal
E (eV per atom): -7.3454

```
&SYSTEM
  ibrav = 0, nat = 12, ntyp = 4
/
ATOMIC_SPECIES
O 16.00 O.upf
Os 190.23 Os.upf
Cs 132.91 Cs.upf
Y 88.91 Y.upf
CELL_PARAMETERS angstrom
-5.7527 0.5940 1.7165
1.3039 -2.0627 -5.5171
0.0712 -7.9761 2.9990
ATOMIC_POSITIONS crystal
O 0.6667 0.3333 0.0575
O 0.1483 0.3401 0.6623
O 0.6599 0.8082 0.6623
O 0.8517 0.6599 0.3377
O 0.1918 0.8517 0.6623
O 0.3333 0.6667 0.9425
O 0.8082 0.1483 0.3377
O 0.3401 0.1918 0.3377
Os 0.6667 0.3333 0.2654
Os 0.3333 0.6667 0.7346
Cs 0.0000 0.0000 0.0000
Y 0.0000 0.0000 0.5000
```

3.
A geometry-optimized CsY2OsO8 structure, computed with PBE-GGA. Values from VASP.

Uncorrected formation energy (eV/atom): -1.94
Density of states at the Fermi level (states/eV per atom): 0.262
Crystal system: monoclinic
E (eV per atom): -7.3336

```
&SYSTEM
  ibrav = 0, nat = 12, ntyp = 4
/
ATOMIC_SPECIES
O 16.00 O.upf
Os 190.23 Os.upf
Y 88.91 Y.upf
Cs 132.91 Cs.upf
CELL_PARAMETERS angstrom
4.9737 -0.0523 -0.0022
-0.0168 4.9742 -0.0031
0.0147 0.0160 7.8183
ATOMIC_POSITIONS crystal
O 0.8122 0.1861 0.1702
O 0.6082 0.6082 0.4999
O 0.7173 0.7174 0.9993
O 0.1878 0.8139 0.8298
O 0.2827 0.2826 0.0007
O 0.3918 0.3918 0.5001
O 0.8139 0.1878 0.8298
O 0.1861 0.8122 0.1702
Os 0.0000 0.0000 0.0000
Y 0.5004 0.5005 0.2152
Y 0.4996 0.4995 0.7848
Cs 0.0000 0.0000 0.5000
```

4.
A geometry-optimized CsZnOsO6 structure, computed with PBE-GGA. Values from VASP.

Uncorrected formation energy (eV/atom): -1.02
Density of states at the Fermi level (states/eV per atom): 0.136
Crystal system: triclinic
E (eV per atom): -5.8108

```
&SYSTEM
  ibrav = 0, nat = 9, ntyp = 4
/
ATOMIC_SPECIES
Os 190.23 Os.upf
O 16.00 O.upf
Zn 65.41 Zn.upf
Cs 132.91 Cs.upf
CELL_PARAMETERS angstrom
-0.9913 -5.2386 1.2229
2.0346 -4.2302 -3.1673
5.1240 -0.0069 3.8115
ATOMIC_POSITIONS crystal
Os 0.3468 0.3315 0.5114
O 0.3669 0.0225 0.6301
O 0.5260 0.3780 0.7276
O 0.9967 0.5801 0.6631
O 0.4154 0.5626 0.3599
O 0.0320 0.4108 0.3224
O 0.5944 0.0489 0.3191
Zn 0.6701 0.6949 0.4637
Cs 0.0517 0.9707 0.0026
```

5.
A geometry-optimized Cs2ZrOsO6 structure, computed with PBE-GGA. Values from VASP.

Uncorrected formation energy (eV/atom): -1.82
Density of states at the Fermi level (states/eV per atom): 0.246
Crystal system: orthorhombic
E (eV per atom): -6.9390

```
&SYSTEM
  ibrav = 0, nat = 10, ntyp = 4
/
ATOMIC_SPECIES
O 16.00 O.upf
Cs 132.91 Cs.upf
Os 190.23 Os.upf
Zr 91.22 Zr.upf
CELL_PARAMETERS angstrom
5.5147 0.1848 -0.0001
0.1848 5.5147 -0.0002
-2.8498 -2.8496 6.2579
ATOMIC_POSITIONS crystal
O 0.1749 0.1754 0.3499
O 0.6908 0.6913 0.3815
O 0.7761 0.7766 0.0377
O 0.7467 0.2048 0.9510
O 0.2616 0.2621 0.0377
O 0.2043 0.7472 0.9509
Cs 0.7859 0.2864 0.5719
Cs 0.2860 0.7864 0.5719
Os 0.0322 0.0327 0.0645
Zr 0.5405 0.5410 0.0809
```

6.
A geometry-optimized CsP3O structure, computed with PBE-GGA. Values from VASP.

Uncorrected formation energy (eV/atom): 2.65
Density of states at the Fermi level (states/eV per atom): 9.093
Crystal system: cubic
E (eV per atom): -1.7565
Excess energy over the best structure of this formula in the dataset (eV/atom): 1.820

```
&SYSTEM
  ibrav = 0, nat = 5, ntyp = 3
/
ATOMIC_SPECIES
P 30.97 P.upf
O 16.00 O.upf
Cs 132.91 Cs.upf
CELL_PARAMETERS angstrom
-0.9124 3.6767 -4.7712
-5.2925 -2.7935 -1.1406
-2.8761 3.9741 3.6124
ATOMIC_POSITIONS crystal
P 0.0000 0.0000 0.5000
P 0.5000 0.0000 0.0000
P 0.0000 0.5000 0.0000
O 0.5000 0.5000 0.5000
Cs 0.0000 0.0000 0.0000
```

7.
A geometry-optimized CsPO4 structure, computed with PBE-GGA. Values from VASP.

Uncorrected formation energy (eV/atom): -1.56
Density of states at the Fermi level (states/eV per atom): 0.346
Crystal system: orthorhombic
E (eV per atom): -5.9103
Excess energy over the best structure of this formula in the dataset (eV/atom): 0.043

```
&SYSTEM
  ibrav = 0, nat = 12, ntyp = 3
/
ATOMIC_SPECIES
Cs 132.91 Cs.upf
O 16.00 O.upf
P 30.97 P.upf
CELL_PARAMETERS angstrom
3.3393 -8.9637 0.0000
3.3393 8.9637 0.0000
0.0000 0.0000 5.2969
ATOMIC_POSITIONS crystal
Cs 0.0307 0.7289 0.5000
Cs 0.7289 0.0307 0.5000
O 0.3633 0.6112 0.7750
O 0.2606 0.0245 0.0000
O 0.5448 0.0769 0.0000
O 0.6112 0.3633 0.7750
O 0.3633 0.6112 0.2250
O 0.6112 0.3633 0.2250
O 0.0245 0.2606 0.0000
O 0.0769 0.5448 0.0000
P 0.2091 0.5077 0.0000
P 0.5077 0.2091 0.0000
```

8.
A geometry-optimized CsPO structure, computed with PBE-GGA. Values from VASP.

Uncorrected formation energy (eV/atom): -0.91
Density of states at the Fermi level (states/eV per atom): 0.617
Crystal system: tetragonal
E (eV per atom): -4.6509
Excess energy over the best structure of this formula in the dataset (eV/atom): 0.000

```
&SYSTEM
  ibrav = 0, nat = 3, ntyp = 3
/
ATOMIC_SPECIES
P 30.97 P.upf
O 16.00 O.upf
Cs 132.91 Cs.upf
CELL_PARAMETERS angstrom
3.8711 0.0000 0.0000
0.0000 3.8711 0.0000
0.0000 0.0000 5.5752
ATOMIC_POSITIONS crystal
P 0.0000 0.0000 0.6629
O 0.0000 0.0000 0.3828
Cs 0.5000 0.5000 0.1543
```

9.
A geometry-optimized Cs2P2O structure, computed with PBE-GGA. Values from VASP.

Uncorrected formation energy (eV/atom): -0.05
Density of states at the Fermi level (states/eV per atom): 1.098
Crystal system: tetragonal
E (eV per atom): -3.5453
Excess energy over the best structure of this formula in the dataset (eV/atom): 0.045

```
&SYSTEM
  ibrav = 0, nat = 10, ntyp = 3
/
ATOMIC_SPECIES
P 30.97 P.upf
Cs 132.91 Cs.upf
O 16.00 O.upf
CELL_PARAMETERS angstrom
-4.1849 7.2025 2.5771
-7.3772 -3.0228 -3.5316
-1.1245 -2.1534 4.1922
ATOMIC_POSITIONS crystal
P 0.9199 0.5801 0.0000
P 0.5801 0.0801 0.0000
P 0.4199 0.9199 0.0000
P 0.0801 0.4199 0.0000
Cs 0.7877 0.2877 0.5000
Cs 0.2877 0.2123 0.5000
Cs 0.2123 0.7123 0.5000
Cs 0.7123 0.7877 0.5000
O 0.0000 0.0000 0.0000
O 0.5000 0.5000 0.0000
```

10.
A geometry-optimized Cs2P2O structure, computed with PBE-GGA. Values from VASP.

Uncorrected formation energy (eV/atom): -0.09
Density of states at the Fermi level (states/eV per atom): 0.688
Crystal system: tetragonal
E (eV per atom): -3.5901
Excess energy over the best structure of this formula in the dataset (eV/atom): 0.000

```
&SYSTEM
  ibrav = 0, nat = 5, ntyp = 3
/
ATOMIC_SPECIES
P 30.97 P.upf
O 16.00 O.upf
Cs 132.91 Cs.upf
CELL_PARAMETERS angstrom
-4.7417 4.3416 -2.3774
-3.5721 -5.2804 -2.5185
-5.7864 -0.7087 0.3649
ATOMIC_POSITIONS crystal
P 0.6700 0.6700 0.6601
P 0.3300 0.3300 0.3399
O 0.0000 0.0000 0.0000
Cs 0.7500 0.2500 0.5000
Cs 0.2500 0.7500 0.5000
```

11.
A geometry-optimized CsPO4 structure, computed with PBE-GGA. Values from VASP.

Uncorrected formation energy (eV/atom): -1.60
Density of states at the Fermi level (states/eV per atom): 0.405
Crystal system: monoclinic
E (eV per atom): -5.9532
Excess energy over the best structure of this formula in the dataset (eV/atom): 0.000

```
&SYSTEM
  ibrav = 0, nat = 12, ntyp = 3
/
ATOMIC_SPECIES
O 16.00 O.upf
P 30.97 P.upf
Cs 132.91 Cs.upf
CELL_PARAMETERS angstrom
-5.7539 0.6220 -2.6279
-1.9898 -3.5551 3.5153
-2.6960 3.7810 6.7978
ATOMIC_POSITIONS crystal
O 0.7500 0.9138 0.4648
O 0.9375 0.1531 0.1713
O 0.4375 0.8469 0.8287
O 0.2500 0.0862 0.5352
O 0.0625 0.8469 0.8287
O 0.5625 0.1531 0.1713
O 0.2500 0.6123 0.6443
O 0.7500 0.3877 0.3557
P 0.2500 0.8485 0.7090
P 0.7500 0.1515 0.2910
Cs 0.7500 0.3498 0.7596
Cs 0.2500 0.6502 0.2404
```

Which magnetic moment belongs to each record? In order, 1.04; 4.03; 0.96; 1.02; 1.57; 6.77; 4.00; 0.00; 2.51; 0.00; 4.00 μB per cell.